[1]
This record from Alexandria describes a relaxed structure of In2SnHI. The functional is PBE.

a = 5.9813 Å, b = 5.9813 Å, c = 4.0192 Å
α = 90.00°, β = 90.00°, γ = 90.00°
With the nearest neighbours (Å) after each atom.
Fractional positions:
I 0.5000 0.5000 0.5000  8 In 3.60, 2 I 4.02
H 0.0000 0.0000 0.5000  2 Sn 2.01
Sn 0.0000 0.0000 0.0000  2 H 2.01
In 0.0000 0.5000 0.0000  2 Sn 2.99
In 0.5000 0.0000 0.0000  2 Sn 2.99

Calculated values
E (eV/atom): -2.848
Crystal system: tetragonal
Calculated density (g cm⁻³): 5.50
Density of states at the Fermi level (states/eV/cell): 1.619
Size of the total moment (μB/f.u.): 0.000
V (Å³/atom): 28.76

[2]
This record from Alexandria describes a relaxed structure of InTe2HI. The functional is PBE.

a = 4.5067 Å, b = 4.5067 Å, c = 7.6387 Å
α = 90.00°, β = 90.00°, γ = 90.00°
With the nearest neighbours (Å) after each atom.
Fractional positions:
I 0.0000 0.0000 0.5000  4 In 3.19
H 0.0000 0.0000 0.0000  4 Te 2.25
Te 0.0000 0.5000 0.0000  2 H 2.25
Te 0.5000 0.0000 0.0000  2 H 2.25
In 0.5000 0.5000 0.5000  4 I 3.19

Calculated values
E (eV/atom): -2.621
Crystal system: tetragonal
Calculated density (g cm⁻³): 5.33
Density of states at the Fermi level (states/eV/cell): 2.809
Size of the total moment (μB/f.u.): 0.000
V (Å³/atom): 31.03